# 1
## Sr3NiW (GGA-PBE)

Data for Sr3NiW after structural relaxation.

Properties
Its energy of formation is 1.429 eV per atom. The calculated density comes out at 4.41 g/cm³. As for the symmetry: Pm-3m, No. 221. As for the volume: 190.50 Å³/f.u. As for the magnetic moment: 0.7 Bohr magnetons per cell. The energy above the lowest structure with this stoichiometry comes out at 391 meV per atom.

a = 5.754 Å, b = 5.754 Å, c = 5.754 Å
α = 90.00°, β = 90.00°, γ = 90.00°
Each line ends with the local moment (μB).
Sites, in units of the cell vectors:
W: 0.000 0.000 0.000  0.11
Sr: 0.000 0.000 0.500  0.00
Sr: 0.500 0.000 0.000  -0.01
Sr: 0.000 0.500 0.000  0.00
Ni: 0.500 0.500 0.500  0.68

---

# 2
## CsTl2Bi2Pb2 (GGA-PBE)

Data for CsTl2Bi2Pb2 after structural relaxation.

Properties
Its energy of formation is -0.103 eV per atom. The calculated density comes out at 8.13 g/cm³. As for the symmetry: C2/m, No. 12. As for the volume: 280.50 Å³/f.u. As for the magnetic moment: 0.0 Bohr magnetons per cell.

a = 5.208 Å, b = 6.379 Å, c = 9.425 Å
α = 100.13°, β = 90.00°, γ = 114.09°
Sites, in units of the cell vectors:
Pb: 0.122 0.244 0.427
Pb: 0.878 0.756 0.573
Bi: 0.281 0.563 0.733
Bi: 0.719 0.437 0.267
Tl: 0.413 0.826 0.313
Tl: 0.587 0.174 0.687
Cs: 0.000 0.000 0.000

---

# 3
## Ca3Tl5Cl12 (GGA-PBE)

Data for Ca3Tl5Cl12 after structural relaxation.

Properties
The calculated density comes out at 4.31 g/cm³. The calculation puts the uncorrected formation energy at -1.589 eV per atom. As for the symmetry: P-62m, No. 189. As for the volume: 604.21 Å³/f.u. As for the magnetic moment: 0.0 Bohr magnetons per cell. The energy above the lowest structure with this stoichiometry comes out at 0 meV per atom.

a = 4.227 Å, b = 12.847 Å, c = 12.847 Å
α = 120.00°, β = 90.00°, γ = 90.00°
Sites, in units of the cell vectors:
Tl: 0.000 0.712 0.712
Tl: 0.000 0.333 0.667
Tl: 0.000 0.288 0.000
Tl: 0.000 0.667 0.333
Tl: 0.000 0.000 0.288
Cl: 0.000 0.000 0.534
Cl: 0.500 0.200 0.447
Cl: 0.000 0.466 0.466
Cl: 0.000 0.187 0.187
Cl: 0.500 0.553 0.752
Cl: 0.000 0.534 0.000
Cl: 0.000 0.813 0.000
Cl: 0.500 0.447 0.200
Cl: 0.500 0.248 0.800
Cl: 0.500 0.800 0.248
Cl: 0.500 0.752 0.553
Cl: 0.000 0.000 0.813
Ca: 0.500 0.671 0.000
Ca: 0.500 0.000 0.671
Ca: 0.500 0.329 0.329

---

> Look up the magnetic moment of the third one.

0.0 Bohr magnetons per cell